Compound: Mg2ZnCd2
Source: the Alexandria database
Functional: GGA-PBE
Structure: optimized geometry

Unit cell a=7.2067 b=7.2067 c=4.2239 alpha=90.00 beta=90.00 gamma=90.00
With the nearest neighbours (Å) after each atom.
Fractional positions:
Mg (0.1617, 0.3383, 0.0000)  6 Cd 2.90-3.05
Mg (0.3383, 0.8383, 0.0000)  6 Cd 2.90-3.05
Mg (0.6617, 0.1617, 0.0000)  6 Cd 2.90-3.05
Mg (0.8383, 0.6617, 0.0000)  6 Cd 2.90-3.05
Zn (0.0000, 0.0000, 0.5000)  4 Cd 2.77
Zn (0.5000, 0.5000, 0.5000)  4 Cd 2.77
Cd (0.1430, 0.6430, 0.5000)  2 Zn 2.77, 6 Mg 2.90-3.05, 1 Cd 2.92
Cd (0.3570, 0.1430, 0.5000)  2 Zn 2.77, 6 Mg 2.90-3.05, 1 Cd 2.92
Cd (0.6430, 0.8570, 0.5000)  2 Zn 2.77, 6 Mg 2.90-3.05, 1 Cd 2.92
Cd (0.8570, 0.3570, 0.5000)  2 Zn 2.77, 6 Mg 2.90-3.05, 1 Cd 2.92

## Properties
* E_tot: -1.235 eV per atom
* M_tot: 0.000 μB per atom
* formation enthalpy at 0 K: 24 meV per atom
* E above lowest polymorph: 50.6 meV/atom